# 1
An optimized crystal structure of Tb6BO12, computed with PBE.

The structure belongs to space group R-3 (No. 148, hexagonal axes); the cell edges are 9.7731, 9.7731 and 9.2099 Å and the angles 90.00°, 90.00° and 120.00°. The inequivalent atoms are Tb at (0.0469, 0.2548, 0.1498), B at (0.0000, 0.0000, 0.5000), O at (0.0364, 0.1657, 0.4006) and O at (0.0359, 0.2274, 0.9041).

The magnetization comes out at 9.2 μB/cell. Its crystal system is trigonal. As for the total energy: -7.716 eV/atom. The calculation puts the uncorrected formation energy at -2771 meV per atom. The volume comes out at 13.37 A^3/atom.


# 2
An optimized crystal structure of AcGa2Ni4Ir, computed with PBE.

The structure belongs to space group R-3m (No. 166, hexagonal axes); the cell edges are 4.1213, 4.1213 and 26.0812 Å and the angles 90.00°, 90.00° and 120.00°. The inequivalent atoms are Ac at (0.0000, 0.0000, 0.0000), Ga at (0.0000, 0.0000, 0.2226), Ni at (0.0000, 0.0000, 0.1194), Ni at (0.0000, 0.0000, 0.4058) and Ir at (0.0000, 0.0000, 0.5000).

The magnetization comes out at 0.0 μB/cell. Its crystal system is trigonal. Its formation energy is -0.282 eV/atom. As for the total energy: -5.550 eV/atom. The volume comes out at 15.99 A^3/atom.


# 3
An optimized crystal structure of Pm2HoSc6, computed with PBE.

The structure belongs to space group C2/m (No. 12); the cell edges are 16.047, 9.268 and 3.293 Å and the angles 90.00°, 90.06° and 90.00°. The inequivalent atoms are Pm at (0.167, 0.000, 0.000), Ho at (0.000, 0.500, 0.000), Sc at (0.000, 0.169, 0.500) and Sc at (0.166, 0.334, 0.499).

The magnetization comes out at 0.0 μB/cell. Its crystal system is monoclinic. Its formation energy is 0.070 eV/atom. As for the total energy: -5.715 eV/atom. The volume comes out at 27.20 A^3/atom.


Copy entry 3 word for word.
An optimized crystal structure of Pm2HoSc6, computed with PBE.

The structure belongs to space group C2/m (No. 12); the cell edges are 16.047, 9.268 and 3.293 Å and the angles 90.00°, 90.06° and 90.00°. The inequivalent atoms are Pm at (0.167, 0.000, 0.000), Ho at (0.000, 0.500, 0.000), Sc at (0.000, 0.169, 0.500) and Sc at (0.166, 0.334, 0.499).

The magnetization comes out at 0.0 μB/cell. Its crystal system is monoclinic. Its formation energy is 0.070 eV/atom. As for the total energy: -5.715 eV/atom. The volume comes out at 27.20 A^3/atom.


Q: Look up the magnetization of the third one.
A: 0.0 μB/cell